Record 1
This record from the Alexandria database describes a crystal of Co2AgPd2 relaxed with PBEsol. The functional is SCAN.

abc: 3.2387 3.2387 7.2364
angles: 102.93 102.93 90.00
Last column: magnetic moment on the atom in μB.
Element x y z (fractional)
1 Pd 0.3916 0.3916 0.7833  0.22
2 Co 0.2500 0.7500 0.5000  2.05
3 Co 0.7500 0.2500 0.5000  2.05
4 Ag 0.0000 0.0000 0.0000  0.00
5 Pd 0.6084 0.6084 0.2167  0.22

Summary:
energy of formation from the pure elements: 27.6 kJ/mol of atoms
SG: No. 139



Record 2
This record from the Alexandria database describes a crystal of Ca2MnOs relaxed with PBEsol. The functional is SCAN.

abc: 4.8860 4.8860 4.8860
angles: 60.00 60.00 60.00
Last column: magnetic moment on the atom in μB.
Element x y z (fractional)
1 Mn 0.0000 0.0000 0.0000  4.34
2 Os 0.5000 0.5000 0.5000  0.17
3 Ca 0.7500 0.7500 0.7500  0.01
4 Ca 0.2500 0.2500 0.2500  0.01

Summary:
energy of formation from the pure elements: 43.3 kJ/mol of atoms
SG: No. 225
energy relative to the lowest polymorph listed for this composition: 17.3 kJ per mole of atoms



Record 3
This record from the Alexandria database describes a crystal of HfInO2F relaxed with PBEsol. The functional is SCAN.

abc: 4.1048 4.1048 4.2406
angles: 90.00 90.00 90.00
Element x y z (fractional)
1 O 0.0000 0.5000 0.0000
2 Hf 0.0000 0.0000 0.0000
3 In 0.5000 0.5000 0.5000
4 O 0.5000 0.0000 0.0000
5 F 0.0000 0.0000 0.5000

Summary:
uncorrected formation energy: -2.769 eV/atom
SG: No. 123



Record 4
This record from the Alexandria database describes a crystal of HfAl2Zn relaxed with PBEsol. The functional is SCAN.

abc: 4.0267 4.0267 3.9861
angles: 90.00 90.00 90.00
Element x y z (fractional)
1 Al 0.0000 0.5000 0.5000
2 Zn 0.5000 0.5000 0.0000
3 Hf 0.0000 0.0000 0.0000
4 Al 0.5000 0.0000 0.5000

Summary:
energy of formation from the pure elements: -41.4 kJ/mol of atoms
SG: No. 123



Record 5
This record from the Alexandria database describes a crystal of Na2B4O7 relaxed with PBEsol. The functional is SCAN.

abc: 7.6730 7.6730 21.4176
angles: 90.00 90.00 120.00
Element x y z (fractional)
1 O 0.9315 0.0000 0.5000
2 B 0.6761 0.3323 0.6123
3 O 0.7849 0.5317 0.0859
4 Na 0.2940 0.9800 0.6662
5 O 0.4193 0.5586 0.4263
6 O 0.8131 0.9498 0.3971
7 O 0.1891 0.7466 0.9059
8 O 0.9212 0.7759 0.5810
9 B 0.3237 0.3383 0.9277
10 B 0.6677 0.3438 0.2790
11 B 0.9927 0.6462 0.5712
12 Na 0.3540 0.0067 0.1726
13 O 0.7141 0.1915 0.1116
14 B 0.3383 0.3237 0.7389
15 Na 0.0067 0.3540 0.4941
16 Na 0.9933 0.3472 0.8393
17 O 0.2151 0.7468 0.2474
18 O 0.7468 0.2151 0.4193
19 B 0.6562 0.3239 0.9456
20 O 0.4425 0.2534 0.0941
21 O 0.4773 0.2859 0.4449
22 B 0.3143 0.6508 0.5929
23 O 0.2859 0.4773 0.2217
24 B 0.6635 0.3492 0.4071
25 O 0.8634 0.0502 0.6029
26 O 0.5280 0.4155 0.9343
27 Na 0.3699 0.0000 0.5000
28 Na 0.6860 0.7060 0.9995
29 B 0.6763 0.0146 0.4056
30 O 0.6058 0.3468 0.3427
31 B 0.3365 0.6857 0.9262
32 O 0.0788 0.8547 0.7523
33 B 0.3538 0.3465 0.2379
34 O 0.3942 0.7410 0.9906
35 B 0.9965 0.0113 0.4363
36 O 0.4155 0.5280 0.7324
37 B 0.6535 0.0073 0.9046
38 O 0.5297 0.3964 0.5950
39 B 0.9854 0.6617 0.0723
40 O 0.2534 0.4425 0.5726
41 Na 0.3140 0.0200 0.3338
42 O 0.4720 0.8875 0.3990
43 O 0.7759 0.9212 0.0857
44 O 0.8606 0.4414 0.5737
45 O 0.5807 0.1394 0.9070
46 O 0.3964 0.5297 0.0716
47 O 0.5586 0.4193 0.2404
48 O 0.7975 0.9084 0.7551
49 O 0.9084 0.7975 0.9116
50 B 0.3465 0.3538 0.4288
51 B 0.3239 0.6562 0.7210
52 B 0.9852 0.9887 0.5637
53 O 0.8547 0.0788 0.9143
54 O 0.0502 0.8634 0.0637
55 O 0.5845 0.1125 0.6010
56 B 0.0148 0.0035 0.7697
57 O 0.1915 0.7141 0.5551
58 O 0.1109 0.2025 0.0884
59 Na 0.0000 0.3236 0.6667
60 B 0.9872 0.6710 0.9157
61 B 0.0073 0.6535 0.7621
62 O 0.2241 0.1453 0.2477
63 Na 0.7060 0.6860 0.6672
64 Na 0.0200 0.3140 0.3328
65 B 0.9887 0.9852 0.1030
66 O 0.1125 0.5845 0.0657
67 B 0.0035 0.0148 0.8970
68 O 0.6036 0.1333 0.2617
69 B 0.6857 0.3365 0.7404
70 Na 0.0000 0.3699 0.1667
71 O 0.0685 0.0685 0.8333
72 Na 0.6301 0.6301 0.8333
73 O 0.2025 0.1109 0.5783
74 Na 0.9800 0.2940 0.0005
75 Na 0.6528 0.6460 0.5059
76 O 0.4414 0.8606 0.0930
77 O 0.3468 0.6058 0.3239
78 O 0.8667 0.4703 0.9284
79 O 0.6532 0.2590 0.0094
80 O 0.7466 0.1891 0.7607
81 B 0.3290 0.3162 0.5824
82 B 0.6617 0.9854 0.5944
83 O 0.8891 0.0916 0.2449
84 O 0.9498 0.8131 0.2696
85 B 0.6838 0.0128 0.2491
86 O 0.5227 0.8085 0.8884
87 Na 0.6460 0.6528 0.1607
88 Na 0.3472 0.9933 0.8274
89 O 0.2590 0.6532 0.6573
90 O 0.0000 0.9315 0.1667
91 Na 0.6764 0.6764 0.3333
92 O 0.2532 0.4683 0.9141
93 O 0.1366 0.1869 0.7304
94 O 0.1333 0.6036 0.4050
95 O 0.8085 0.5227 0.7783
96 B 0.6710 0.9872 0.7509
97 O 0.5575 0.8109 0.2393
98 O 0.8109 0.5575 0.4274
99 B 0.3162 0.3290 0.0843
100 O 0.0916 0.8891 0.4217
101 Na 0.3236 0.0000 0.0000
102 B 0.0113 0.9965 0.2303
103 O 0.7410 0.3942 0.6761
104 B 0.3492 0.6635 0.2596
105 O 0.1394 0.5807 0.7596
106 B 0.6508 0.3143 0.0738
107 B 0.0146 0.6763 0.2611
108 O 0.5317 0.7849 0.5807
109 B 0.6462 0.9927 0.0954
110 O 0.1869 0.1366 0.9363
111 O 0.4703 0.8667 0.7383
112 O 0.8875 0.4720 0.2676
113 B 0.3438 0.6677 0.3877
114 O 0.4683 0.2532 0.7526
115 B 0.3323 0.6761 0.0544
116 O 0.1453 0.2241 0.4190
117 B 0.0128 0.6838 0.4176

Summary:
uncorrected formation energy: -2.566 eV/atom
SG: No. 154
energy relative to the lowest polymorph listed for this composition: 0.3 kJ per mole of atoms



Record 6
This record from the Alexandria database describes a crystal of Li2TlTcN relaxed with PBEsol. The functional is SCAN.

abc: 3.8373 4.1389 4.1389
angles: 90.00 90.00 90.00
Last column: magnetic moment on the atom in μB.
Element x y z (fractional)
1 Li 0.0000 0.0000 0.5000  0.00
2 Tl 0.5000 0.5000 0.5000  0.00
3 N 0.0000 0.0000 0.0000  -0.03
4 Tc 0.5000 0.0000 0.0000  0.69
5 Li 0.0000 0.5000 0.0000  0.00

Summary:
uncorrected formation energy: -0.258 eV/atom
SG: No. 123



Record 7
This record from the Alexandria database describes a crystal of Ca2CrHg relaxed with PBEsol. The functional is SCAN.

abc: 3.7343 3.7343 7.3662
angles: 90.00 90.00 90.00
Last column: magnetic moment on the atom in μB.
Element x y z (fractional)
1 Cr 0.5000 0.5000 0.0000  4.14
2 Ca 0.0000 0.0000 0.7446  0.05
3 Hg 0.5000 0.5000 0.5000  0.01
4 Ca 0.0000 0.0000 0.2554  0.05

Summary:
energy of formation from the pure elements: -14.9 kJ/mol of atoms
SG: No. 123



Record 8
This record from the Alexandria database describes a crystal of CaInRu relaxed with PBEsol. The functional is SCAN.

abc: 3.2923 3.2923 6.7415
angles: 90.00 90.00 120.00
Element x y z (fractional)
1 Ca 0.0000 0.0000 0.0336
2 Ru 0.6667 0.3333 0.3416
3 In 0.3333 0.6667 0.6248

Summary:
energy of formation from the pure elements: 24.2 kJ/mol of atoms
SG: No. 156



Record 9
This record from the Alexandria database describes a crystal of Be2FeTcB relaxed with PBEsol. The functional is SCAN.

abc: 3.7243 3.7243 4.3203
angles: 90.00 90.00 90.00
Last column: magnetic moment on the atom in μB.
Element x y z (fractional)
1 Be 0.0000 0.5000 0.0000  0.00
2 Tc 0.0000 0.0000 0.5000  0.74
3 B 0.5000 0.5000 0.5000  -0.02
4 Be 0.5000 0.0000 0.0000  0.00
5 Fe 0.0000 0.0000 0.0000  -0.14

Summary:
energy of formation from the pure elements: 137.2 kJ/mol of atoms
SG: No. 123



Record 10
This record from the Alexandria database describes a crystal of OsRhIN2 relaxed with PBEsol. The functional is SCAN.

abc: 3.7195 3.7195 6.2939
angles: 90.00 90.00 90.00
Last column: magnetic moment on the atom in μB.
Element x y z (fractional)
1 N 0.0000 0.5000 0.0000  0.15
2 N 0.5000 0.0000 0.0000  0.15
3 Rh 0.0000 0.0000 0.0000  -0.03
4 I 0.0000 0.0000 0.5000  0.00
5 Os 0.5000 0.5000 0.5000  0.96

Summary:
uncorrected formation energy: 1.881 eV/atom
SG: No. 123
energy relative to the lowest polymorph listed for this composition: 86.9 kJ per mole of atoms



Record 11
This record from the Alexandria database describes a crystal of YZrW2 relaxed with PBEsol. The functional is SCAN.

abc: 3.2703 4.7230 4.8545
angles: 90.00 90.00 90.00
Element x y z (fractional)
1 W 0.5000 0.5000 0.0000
2 Y 0.5000 0.0000 0.5000
3 W 0.0000 0.0000 0.0000
4 Zr 0.0000 0.5000 0.5000

Summary:
energy of formation from the pure elements: 57.7 kJ/mol of atoms
SG: No. 47
energy relative to the lowest polymorph listed for this composition: 19.0 kJ per mole of atoms



Record 12
This record from the Alexandria database describes a crystal of ZrOs relaxed with PBEsol. The functional is SCAN.

abc: 3.7861 3.7861 3.7861
angles: 60.00 60.00 60.00
Element x y z (fractional)
1 Os 0.0000 0.0000 0.0000
2 Zr 0.5000 0.5000 0.5000

Summary:
energy of formation from the pure elements: 24.8 kJ/mol of atoms
SG: No. 225